(1)
# TmZrIr, relaxed, DFT PBE-GGA
# volume: 23.7 Å³ per atom
# excess energy over the best structure of this formula in the dataset: 136 meV per atom
# ΔE_f: -0.59 eV per atom
# E: -94.7 eV/cell
data_TmZrIr
_cell_length_a 6.5762
_cell_length_b 6.5762
_cell_length_c 6.5762
_cell_angle_alpha 90.00
_cell_angle_beta 90.00
_cell_angle_gamma 90.00
_space_group_name_H-M_alt 'F -4 3 m'
_space_group_IT_number 216
_space_group_name_Hall 'F -4 2 3'
loop_
_atom_site_label
_atom_site_fract_x
_atom_site_fract_y
_atom_site_fract_z
_atom_site_occupancy
Tm1 0.0000 0.0000 0.0000 1
Zr1 0.0000 0.0000 0.5000 1
Ir1 0.2500 0.2500 0.7500 1

***

(2)
# Tm5ZrIr6, relaxed, DFT PBE-GGA
# volume: 19.1 Å³ per atom
# ΔE_f: -0.91 eV per atom
# E: -190.1 eV/cell
data_Tm5ZrIr6
_cell_length_a 4.6719
_cell_length_b 14.0256
_cell_length_c 7.0002
_cell_angle_alpha 90.00
_cell_angle_beta 90.00
_cell_angle_gamma 90.00
_space_group_name_H-M_alt 'C m m m'
_space_group_IT_number 65
_space_group_name_Hall '-C 2 2'
loop_
_atom_site_label
_atom_site_fract_x
_atom_site_fract_y
_atom_site_fract_z
_atom_site_occupancy
Tm1 0.0000 0.0000 0.0000 1
Tm2 0.0000 0.3319 0.5000 1
Tm3 0.0000 0.3335 0.0000 1
Zr1 0.0000 0.0000 0.5000 1
Ir1 0.0000 0.1627 0.2538 1
Ir2 0.0000 0.5000 0.2616 1

***

(3)
# TmZrIr, relaxed, DFT PBE-GGA
# volume: 21.4 Å³ per atom
# excess energy over the best structure of this formula in the dataset: 214 meV per atom
# ΔE_f: -0.52 eV per atom
# E: -46.9 eV/cell
data_TmZrIr
_cell_length_a 3.4113
_cell_length_b 3.4113
_cell_length_c 11.0348
_cell_angle_alpha 90.00
_cell_angle_beta 90.00
_cell_angle_gamma 90.00
_space_group_name_H-M_alt 'I 4 m m'
_space_group_IT_number 107
_space_group_name_Hall 'I 4 -2'
loop_
_atom_site_label
_atom_site_fract_x
_atom_site_fract_y
_atom_site_fract_z
_atom_site_occupancy
Tm1 0.0000 0.0000 0.0000 1
Zr1 0.0000 0.0000 0.7102 1
Ir1 0.0000 0.0000 0.3409 1

***

(4)
# TmZrIr4, relaxed, DFT PBE-GGA
# volume: 17.4 Å³ per atom
# ΔE_f: -0.75 eV per atom
# E: -211.8 eV/cell
data_TmZrIr4
_cell_length_a 7.4807
_cell_length_b 7.4807
_cell_length_c 7.4807
_cell_angle_alpha 90.00
_cell_angle_beta 90.00
_cell_angle_gamma 90.00
_space_group_name_H-M_alt 'F -4 3 m'
_space_group_IT_number 216
_space_group_name_Hall 'F -4 2 3'
loop_
_atom_site_label
_atom_site_fract_x
_atom_site_fract_y
_atom_site_fract_z
_atom_site_occupancy
Tm1 0.0000 0.0000 0.0000 1
Zr1 0.2500 0.2500 0.2500 1
Ir1 0.1253 0.1253 0.6253 1

***

(5)
# TmZr2Ir, relaxed, DFT PBE-GGA
# volume: 20.2 Å³ per atom
# excess energy over the best structure of this formula in the dataset: 266 meV per atom
# ΔE_f: -0.23 eV per atom
# E: -125.4 eV/cell
data_TmZr2Ir
_cell_length_a 6.8676
_cell_length_b 6.8676
_cell_length_c 6.8676
_cell_angle_alpha 90.00
_cell_angle_beta 90.00
_cell_angle_gamma 90.00
_space_group_name_H-M_alt 'F m -3 m'
_space_group_IT_number 225
_space_group_name_Hall '-F 4 2 3'
loop_
_atom_site_label
_atom_site_fract_x
_atom_site_fract_y
_atom_site_fract_z
_atom_site_occupancy
Tm1 0.0000 0.0000 0.0000 1
Zr1 0.2500 0.2500 0.2500 1
Ir1 0.0000 0.0000 0.5000 1

***

(6)
# TmZr4Ir5, relaxed, DFT PBE-GGA
# volume: 18.4 Å³ per atom
# ΔE_f: -0.81 eV per atom
# E: -91.1 eV/cell
data_TmZr4Ir5
_cell_length_a 3.3325
_cell_length_b 3.3325
_cell_length_c 16.5959
_cell_angle_alpha 90.00
_cell_angle_beta 90.00
_cell_angle_gamma 90.00
_space_group_name_H-M_alt 'P 4/m m m'
_space_group_IT_number 123
_space_group_name_Hall '-P 4 2'
loop_
_atom_site_label
_atom_site_fract_x
_atom_site_fract_y
_atom_site_fract_z
_atom_site_occupancy
Tm1 0.0000 0.0000 0.0000 1
Zr1 0.0000 0.0000 0.2025 1
Zr2 0.0000 0.0000 0.4013 1
Ir1 0.5000 0.5000 0.1097 1
Ir2 0.5000 0.5000 0.3032 1
Ir3 0.5000 0.5000 0.5000 1

***

(7)
# TmZrIr2, relaxed, DFT PBE-GGA
# volume: 18.9 Å³ per atom
# excess energy over the best structure of this formula in the dataset: 0 meV per atom
# ΔE_f: -0.86 eV per atom
# E: -34.2 eV/cell
data_TmZrIr2
_cell_length_a 3.3222
_cell_length_b 3.3222
_cell_length_c 6.8382
_cell_angle_alpha 90.00
_cell_angle_beta 90.00
_cell_angle_gamma 90.00
_space_group_name_H-M_alt 'P 4/m m m'
_space_group_IT_number 123
_space_group_name_Hall '-P 4 2'
loop_
_atom_site_label
_atom_site_fract_x
_atom_site_fract_y
_atom_site_fract_z
_atom_site_occupancy
Tm1 0.0000 0.0000 0.0000 1
Zr1 0.0000 0.0000 0.5000 1
Ir1 0.5000 0.5000 0.2668 1

***

(8)
# TmZr2Ir3, relaxed, DFT PBE-GGA
# volume: 18.8 Å³ per atom
# ΔE_f: -0.82 eV per atom
# E: -53.1 eV/cell
data_TmZr2Ir3
_cell_length_a 4.6805
_cell_length_b 4.6805
_cell_length_c 5.9504
_cell_angle_alpha 90.00
_cell_angle_beta 90.00
_cell_angle_gamma 120.00
_space_group_name_H-M_alt 'P -3 m 1'
_space_group_IT_number 164
_space_group_name_Hall '-P 3 2"'
loop_
_atom_site_label
_atom_site_fract_x
_atom_site_fract_y
_atom_site_fract_z
_atom_site_occupancy
Tm1 0.0000 0.0000 0.0000 1
Zr1 0.3333 0.6667 0.6687 1
Ir1 0.0000 0.0000 0.5000 1
Ir2 0.3333 0.6667 0.2087 1